1.
{
  "formula": "DyInGeAu",
  "functional": "PBE",
  "state": "optimized geometry",
  "lattice_angstrom": [[-4.651, -0.967, -1.520], [-0.783, -3.165, -3.775], [-2.031, -4.471, 0.874]],
  "species": ["Ge", "In", "Au", "Dy"],
  "fractional_positions": [[0.250, 0.250, 0.250], [0.000, 0.000, 0.000], [0.750, 0.750, 0.750], [0.500, 0.500, 0.500]],
  "vol_a3_per_atom": 21.935,
  "formation_energy_ev_per_atom": -0.42,
  "magnetic_moment_mub_per_cell": 0.00
}

2.
{
  "formula": "Li2DyGeAu4",
  "functional": "PBE",
  "state": "optimized geometry",
  "lattice_angstrom": [[4.510, 0.000, 0.000], [2.255, 3.906, 0.000], [2.255, 1.302, 8.481]],
  "species": ["Li", "Li", "Dy", "Ge", "Au", "Au", "Au", "Au"],
  "fractional_positions": [[0.760, 0.760, 0.720], [0.240, 0.240, 0.280], [0.000, 0.000, 0.000], [0.500, 0.500, 0.500], [0.392, 0.392, 0.824], [0.875, 0.875, 0.374], [0.125, 0.125, 0.626], [0.608, 0.608, 0.176]],
  "vol_a3_per_atom": 18.675,
  "formation_energy_ev_per_atom": -0.52,
  "magnetic_moment_mub_per_cell": 0.00
}

3.
{
  "formula": "Li2DyGe2Au2",
  "functional": "PBE",
  "state": "optimized geometry",
  "lattice_angstrom": [[-0.046, -4.402, 0.646], [3.586, -2.042, 1.664], [-1.449, -1.100, 7.721]],
  "species": ["Li", "Li", "Dy", "Ge", "Ge", "Au", "Au"],
  "fractional_positions": [[0.141, 0.141, 0.578], [0.859, 0.859, 0.422], [0.000, 0.000, 0.000], [0.572, 0.572, 0.284], [0.428, 0.428, 0.716], [0.742, 0.742, 0.775], [0.258, 0.258, 0.225]],
  "vol_a3_per_atom": 18.382,
  "formation_energy_ev_per_atom": -0.57,
  "magnetic_moment_mub_per_cell": 0.00
}

4.
{
  "formula": "Dy2Ni4Ge3Au",
  "functional": "PBE",
  "state": "optimized geometry",
  "lattice_angstrom": [[-2.562, -2.986, -0.998], [3.057, -2.051, -1.710], [1.870, -4.544, 8.792]],
  "species": ["Dy", "Dy", "Ni", "Ni", "Ni", "Ni", "Ge", "Ge", "Ge", "Au"],
  "fractional_positions": [[0.500, 0.000, 0.246], [0.000, 0.500, 0.754], [0.500, 0.500, 0.000], [0.000, 0.000, 0.000], [0.500, 0.000, 0.648], [0.000, 0.500, 0.352], [0.000, 0.000, 0.500], [0.500, 0.000, 0.876], [0.000, 0.500, 0.124], [0.500, 0.500, 0.500]],
  "vol_a3_per_atom": 16.596,
  "formation_energy_ev_per_atom": -0.60,
  "magnetic_moment_mub_per_cell": 0.00
}

5.
{
  "formula": "Dy2Ni3Ge4Au",
  "functional": "PBE",
  "state": "optimized geometry",
  "lattice_angstrom": [[-1.023, 2.327, 3.283], [-4.002, -0.945, -0.577], [1.007, -7.856, 5.881]],
  "species": ["Dy", "Dy", "Ni", "Ni", "Ni", "Ge", "Ge", "Ge", "Ge", "Au"],
  "fractional_positions": [[0.500, 0.000, 0.243], [0.000, 0.500, 0.757], [0.000, 0.000, 0.500], [0.500, 0.000, 0.882], [0.000, 0.500, 0.118], [0.500, 0.500, 0.000], [0.000, 0.000, 0.000], [0.500, 0.000, 0.649], [0.000, 0.500, 0.351], [0.500, 0.500, 0.500]],
  "vol_a3_per_atom": 17.007,
  "formation_energy_ev_per_atom": -0.64,
  "magnetic_moment_mub_per_cell": 0.00
}

6.
{
  "formula": "PmDyGeAu",
  "functional": "PBE",
  "state": "optimized geometry",
  "lattice_angstrom": [[-3.948, 2.066, -2.572], [-2.028, -2.481, -4.025], [-4.685, -2.094, 0.364]],
  "species": ["Ge", "Pm", "Au", "Dy"],
  "fractional_positions": [[0.250, 0.250, 0.250], [0.000, 0.000, 0.000], [0.750, 0.750, 0.750], [0.500, 0.500, 0.500]],
  "vol_a3_per_atom": 24.072,
  "formation_energy_ev_per_atom": -0.74,
  "magnetic_moment_mub_per_cell": 0.67
}